No. 1
# Nd11Dy9Th4

Nd11Dy9Th4 after structural relaxation (GGA-PBE, Alexandria).

Output
- space-group type = No. 65
- uncorrected energy (eV per cell) = -120.82
- total moment (Bohr magnetons per cell) = 0.0
- N(E_F) (states/eV/f.u.) = 34.375
- energy of formation (meV/atom) = 113.3

Cell lengths 15.4844, 15.4844, 3.7066 Å; angles 90.00, 90.00, 112.85 degrees
Closest atoms and distances in Å follow each position.
Fractional coordinates of all 24 atoms:
Nd (0.0000, 0.0000, 0.0000)  8 Dy 3.55, 2 Nd 3.71
Nd (0.0455, 0.4087, 0.0000)  2 Th 3.40, 6 Dy 3.56-3.75, 3 Nd 3.62-3.71
Nd (0.1579, 0.8421, 0.0000)  5 Nd 3.71-4.07, 8 Dy 3.74
Nd (0.2933, 0.2933, 0.0000)  4 Th 3.33, 2 Nd 3.71, 4 Dy 3.73
Nd (0.3681, 0.6319, 0.0000)  4 Th 3.36, 4 Dy 3.69, 2 Nd 3.71
Nd (0.4087, 0.0455, 0.0000)  2 Th 3.40, 6 Dy 3.56-3.75, 3 Nd 3.62-3.71
Nd (0.5913, 0.9545, 0.0000)  2 Th 3.40, 6 Dy 3.56-3.75, 3 Nd 3.62-3.71
Nd (0.6319, 0.3681, 0.0000)  4 Th 3.36, 4 Dy 3.69, 2 Nd 3.71
Nd (0.7067, 0.7067, 0.0000)  4 Th 3.33, 2 Nd 3.71, 4 Dy 3.73
Nd (0.8421, 0.1579, 0.0000)  5 Nd 3.71-4.07, 8 Dy 3.74
Nd (0.9545, 0.5913, 0.0000)  2 Th 3.40, 6 Dy 3.56-3.75, 3 Nd 3.62-3.71
Dy (0.0666, 0.2118, 0.5000)  8 Nd 3.55-3.74, 1 Th 3.57, 3 Dy 3.71-3.75
Dy (0.1634, 0.6346, 0.5000)  3 Dy 3.46-3.71, 8 Nd 3.56-3.75, 1 Th 3.57
Dy (0.2118, 0.0666, 0.5000)  8 Nd 3.55-3.74, 1 Th 3.57, 3 Dy 3.71-3.75
Dy (0.3654, 0.8366, 0.5000)  3 Dy 3.46-3.71, 8 Nd 3.56-3.75, 1 Th 3.57
Dy (0.5000, 0.5000, 0.5000)  2 Dy 3.71, 4 Th 3.77, 8 Nd 3.88-4.00
Dy (0.6346, 0.1634, 0.5000)  3 Dy 3.46-3.71, 8 Nd 3.56-3.75, 1 Th 3.57
Dy (0.7882, 0.9334, 0.5000)  8 Nd 3.55-3.74, 1 Th 3.57, 3 Dy 3.71-3.75
Dy (0.8366, 0.3654, 0.5000)  3 Dy 3.46-3.71, 8 Nd 3.56-3.75, 1 Th 3.57
Dy (0.9334, 0.7882, 0.5000)  8 Nd 3.55-3.74, 1 Th 3.57, 3 Dy 3.71-3.75
Th (0.2406, 0.4450, 0.5000)  6 Nd 3.33-3.40, 2 Dy 3.57, 2 Th 3.71
Th (0.4450, 0.2406, 0.5000)  6 Nd 3.33-3.40, 2 Dy 3.57, 2 Th 3.71
Th (0.5550, 0.7594, 0.5000)  6 Nd 3.33-3.40, 2 Dy 3.57, 2 Th 3.71
Th (0.7594, 0.5550, 0.5000)  6 Nd 3.33-3.40, 2 Dy 3.57, 2 Th 3.71

No. 2
# Th3Zn8Au3

Th3Zn8Au3 after structural relaxation (GGA-PBE, Alexandria).

Output
- space-group type = No. 12
- uncorrected energy (eV per cell) = -47.93
- total moment (Bohr magnetons per cell) = 0.0
- N(E_F) (states/eV/f.u.) = 7.629
- energy of formation (meV/atom) = -403.2

Cell lengths 8.2846, 8.2846, 9.2265 Å; angles 122.59, 122.59, 31.48 degrees
Closest atoms and distances in Å follow each position.
Fractional coordinates of all 14 atoms:
Th (0.0000, 0.0000, 0.0000)  8 Zn 3.19-3.39, 4 Au 3.27
Th (0.2937, 0.2937, 0.2992)  11 Zn 3.13-3.43, 3 Au 3.21-3.45
Th (0.7063, 0.7063, 0.7008)  11 Zn 3.13-3.43, 3 Au 3.21-3.45
Zn (0.1389, 0.1389, 0.4170)  3 Zn 2.56-2.77, 1 Au 2.72
Zn (0.1395, 0.1395, 0.8512)  4 Au 2.65-2.80, 2 Zn 2.94
Zn (0.3403, 0.3403, 0.6932)  4 Zn 2.56-2.77, 1 Au 2.63
Zn (0.4981, 0.4981, 0.6820)  1 Zn 2.58, 3 Au 2.67-2.82
Zn (0.5019, 0.5019, 0.3180)  1 Zn 2.58, 3 Au 2.67-2.82
Zn (0.6597, 0.6597, 0.3068)  4 Zn 2.56-2.77, 1 Au 2.63
Zn (0.8605, 0.8605, 0.1488)  4 Au 2.65-2.80, 2 Zn 2.94
Zn (0.8611, 0.8611, 0.5830)  3 Zn 2.56-2.77, 1 Au 2.72
Au (0.0000, 0.0000, 0.5000)  8 Zn 2.72-2.82
Au (0.3461, 0.3461, 0.9833)  5 Zn 2.63-2.80
Au (0.6539, 0.6539, 0.0167)  5 Zn 2.63-2.80

No. 3
# BiPI

BiPI after structural relaxation (GGA-PBE, Alexandria).

Output
- space-group type = No. 1
- uncorrected energy (eV per cell) = -22.38
- total moment (Bohr magnetons per cell) = 0.0

Cell lengths 4.3244, 5.2138, 11.2114 Å; angles 91.65, 100.96, 114.46 degrees
Closest atoms and distances in Å follow each position.
Fractional coordinates of all 6 atoms:
Bi (0.0000, 0.0000, 0.0000)  3 P 2.81-2.83
Bi (0.1723, 0.6777, 0.6595)  3 P 2.78-2.81
P (0.4851, 0.1171, 0.8507)  1 P 2.17
P (0.6802, 0.5493, 0.8062)  1 P 2.17
I (0.7685, 0.0237, 0.5060)  3 Bi 3.30-3.35
I (0.8237, 0.4799, 0.1688)  3 Bi 3.26-3.51

No. 4
# ZrTa2As

ZrTa2As after structural relaxation (GGA-PBE, Alexandria).

Output
- space-group type = No. 47
- uncorrected energy (eV per cell) = -37.70
- total moment (Bohr magnetons per cell) = 0.0
- N(E_F) (states/eV/f.u.) = 2.924
- energy of formation (meV/atom) = -199.1

Cell lengths 3.6186, 4.4070, 4.6003 Å; angles 90.00, 90.00, 90.00 degrees
Closest atoms and distances in Å follow each position.
Fractional coordinates of all 4 atoms:
Zr (0.0000, 0.0000, 0.0000)  4 As 2.85, 8 Ta 2.93-3.19
Ta (0.0000, 0.5000, 0.5000)  4 Ta 2.85, 4 As 2.93, 4 Zr 3.19
Ta (0.5000, 0.0000, 0.5000)  4 Ta 2.85, 4 Zr 2.93, 4 As 3.19
As (0.5000, 0.5000, 0.0000)  4 Zr 2.85, 8 Ta 2.93-3.19

No. 5
# SrSc2AuN

SrSc2AuN after structural relaxation (GGA-PBE, Alexandria).

Output
- space-group type = No. 123
- uncorrected energy (eV per cell) = -30.20
- total moment (Bohr magnetons per cell) = 0.0
- N(E_F) (states/eV/f.u.) = 3.356

Cell lengths 4.4001, 4.4001, 5.2766 Å; angles 90.00, 90.00, 90.00 degrees
Closest atoms and distances in Å follow each position.
Fractional coordinates of all 5 atoms:
Sr (0.0000, 0.0000, 0.0000)  2 N 2.64
Sc (0.0000, 0.5000, 0.5000)  2 N 2.20
Sc (0.5000, 0.0000, 0.5000)  2 N 2.20
Au (0.5000, 0.5000, 0.0000)  4 Sr 3.11, 8 Sc 3.44
N (0.0000, 0.0000, 0.5000)  4 Sc 2.20

No. 6
# La8AlCo2

La8AlCo2 after structural relaxation (GGA-PBE, Alexandria).

Output
- space-group type = No. 12
- uncorrected energy (eV per cell) = -57.95
- total moment (Bohr magnetons per cell) = 0.0
- N(E_F) (states/eV/f.u.) = 13.090
- energy of formation (meV/atom) = -52.0

Cell lengths 8.3756, 8.3756, 5.1119 Å; angles 96.27, 96.27, 111.66 degrees
Closest atoms and distances in Å follow each position.
Fractional coordinates of all 11 atoms:
La (0.1189, 0.1189, 0.7960)  2 Co 3.10, 4 La 3.34-3.40
La (0.1910, 0.4462, 0.4418)  2 Co 3.06-3.18, 2 La 3.35-3.36
La (0.2360, 0.7640, 0.0000)  2 Co 2.64
La (0.4462, 0.1910, 0.4418)  2 Co 3.06-3.18, 2 La 3.35-3.36
La (0.5538, 0.8090, 0.5582)  2 Co 3.06-3.18, 2 La 3.35-3.36
La (0.7640, 0.2360, 0.0000)  2 Co 2.64
La (0.8090, 0.5538, 0.5582)  2 Co 3.06-3.18, 2 La 3.35-3.36
La (0.8811, 0.8811, 0.2040)  2 Co 3.10, 4 La 3.34-3.40
Al (0.5000, 0.5000, 0.0000)  12 La 3.51-3.66
Co (0.1875, 0.8125, 0.5000)  2 La 2.64
Co (0.8125, 0.1875, 0.5000)  2 La 2.64

No. 7
# CaY3Ir

CaY3Ir after structural relaxation (GGA-PBE, Alexandria).

Output
- space-group type = No. 221
- uncorrected energy (eV per cell) = -31.92
- total moment (Bohr magnetons per cell) = 0.0
- N(E_F) (states/eV/f.u.) = 8.040
- energy of formation (meV/atom) = -333.9

Cell lengths 5.4927, 5.4927, 5.4927 Å; angles 90.00, 90.00, 90.00 degrees
Closest atoms and distances in Å follow each position.
Fractional coordinates of all 5 atoms:
Ca (0.0000, 0.0000, 0.0000)  12 Y 3.88
Y (0.0000, 0.5000, 0.5000)  2 Ir 2.75
Y (0.5000, 0.0000, 0.5000)  2 Ir 2.75
Y (0.5000, 0.5000, 0.0000)  2 Ir 2.75
Ir (0.5000, 0.5000, 0.5000)  6 Y 2.75

No. 8
# CaRhCl

CaRhCl after structural relaxation (GGA-PBE, Alexandria).

Output
- space-group type = No. 8
- uncorrected energy (eV per cell) = -29.41
- total moment (Bohr magnetons per cell) = 0.0
- N(E_F) (states/eV/f.u.) = 1.993

Cell lengths 4.0717, 4.0717, 10.8477 Å; angles 101.85, 101.85, 64.42 degrees
Closest atoms and distances in Å follow each position.
Fractional coordinates of all 6 atoms:
Ca (0.0000, 0.0000, 0.0000)  3 Cl 2.77-2.79
Ca (0.1620, 0.1620, 0.4231)  3 Cl 2.78-2.79
Rh (0.4062, 0.4062, 0.2117)  3 Rh 2.38-2.47
Rh (0.7649, 0.7649, 0.2117)  3 Rh 2.38-2.47
Cl (0.6018, 0.6018, 0.8668)  3 Ca 2.77-2.79
Cl (0.8657, 0.8657, 0.5568)  3 Ca 2.78-2.79

What did the fourth record say?
# ZrTa2As

ZrTa2As after structural relaxation (GGA-PBE, Alexandria).

Output
- space-group type = No. 47
- uncorrected energy (eV per cell) = -37.70
- total moment (Bohr magnetons per cell) = 0.0
- N(E_F) (states/eV/f.u.) = 2.924
- energy of formation (meV/atom) = -199.1

Cell lengths 3.6186, 4.4070, 4.6003 Å; angles 90.00, 90.00, 90.00 degrees
Closest atoms and distances in Å follow each position.
Fractional coordinates of all 4 atoms:
Zr (0.0000, 0.0000, 0.0000)  4 As 2.85, 8 Ta 2.93-3.19
Ta (0.0000, 0.5000, 0.5000)  4 Ta 2.85, 4 As 2.93, 4 Zr 3.19
Ta (0.5000, 0.0000, 0.5000)  4 Ta 2.85, 4 Zr 2.93, 4 As 3.19
As (0.5000, 0.5000, 0.0000)  4 Zr 2.85, 8 Ta 2.93-3.19